DFT (PBE with a Hubbard U) results for NaNiBO3 after structural relaxation.

For the energy relative to the lowest polymorph listed for this composition, the calculation gives 0.00 eV/f.u. For the total energy, the calculation gives -0.2226 Ha/atom.

abc: 5.023 5.077 5.581
angles: 84.37 78.55 60.35
Fractional positions:
B 0.331 0.337 0.750
Ni 0.000 0.000 0.000
O 0.813 0.818 0.301
Na 0.664 0.671 0.750
O 0.631 0.182 0.801
B 0.669 0.663 0.250
Ni 0.000 0.000 0.500
Na 0.336 0.329 0.250
O 0.174 0.652 0.750
O 0.187 0.182 0.699
O 0.826 0.348 0.250
O 0.369 0.818 0.199